# 1
A plane-wave DFT calculation with PBE-GGA was carried out for a geometry-optimized MnMoSe2 structure.

a b c (Å): 9.613 9.613 9.613
angles (deg): 18.90 18.90 18.90
Last column: magnetic moment on the atom in μB.
Fractional coordinates of all 4 atoms:
Se: 0.220 0.220 0.220  -0.19
Se: 0.027 0.027 0.027  0.00
Mo: 0.755 0.755 0.755  -0.11
Mn: 0.497 0.497 0.497  2.96

Computed properties:
The density comes out at 6.29 Mg/m³. The calculation puts the formation energy (no corrections) at -0.135 eV/atom. The value obtained for the offset from the most stable computed form is 168.8 meV per atom. The symmetry is R3m (160).

=====

# 2
A plane-wave DFT calculation with PBE-GGA was carried out for a geometry-optimized SrTl2Ga3F12 structure.

a b c (Å): 7.365 7.365 7.365
angles (deg): 62.71 62.71 62.71
Fractional coordinates of all 18 atoms:
F: 0.911 0.279 0.279
F: 0.594 0.117 0.117
F: 0.721 0.721 0.089
Tl: 0.376 0.376 0.376
F: 0.279 0.911 0.279
F: 0.883 0.406 0.883
F: 0.089 0.721 0.721
F: 0.117 0.117 0.594
F: 0.721 0.089 0.721
F: 0.279 0.279 0.911
F: 0.883 0.883 0.406
Tl: 0.624 0.624 0.624
F: 0.406 0.883 0.883
F: 0.117 0.594 0.117
Ga: 0.000 0.000 0.500
Sr: 0.000 0.000 0.000
Ga: 0.000 0.500 0.000
Ga: 0.500 0.000 0.000

Computed properties:
The density comes out at 5.18 Mg/m³. The calculation puts the formation energy (no corrections) at -2.578 eV/atom. The symmetry is R-3m (166).

=====

# 3
A plane-wave DFT calculation with PBE-GGA was carried out for a geometry-optimized BaEuCdGa structure.

a b c (Å): 5.685 5.685 5.685
angles (deg): 60.00 60.00 60.00
Last column: magnetic moment on the atom in μB.
Fractional coordinates of all 4 atoms:
Eu: 0.750 0.750 0.750  6.86
Ga: 0.500 0.500 0.500  -0.02
Ba: 0.250 0.250 0.250  -0.01
Cd: 0.000 0.000 0.000  -0.01

Computed properties:
The density comes out at 6.03 Mg/m³. The calculated formation energy comes out at -0.322 eV/atom. The symmetry is F-43m (216).

=====

# 4
A plane-wave DFT calculation with PBE-GGA was carried out for a geometry-optimized CoAs2Pt structure.

a b c (Å): 7.811 7.811 7.811
angles (deg): 22.35 22.35 22.35
Last column: magnetic moment on the atom in μB.
Fractional coordinates of all 4 atoms:
Pt: 0.750 0.750 0.750  0.04
As: 0.991 0.991 0.991  0.01
Co: 0.250 0.250 0.250  0.68
As: 0.509 0.509 0.509  0.01

Computed properties:
The density comes out at 11.09 Mg/m³. The calculated formation energy comes out at 0.017 eV/atom. The value obtained for the offset from the most stable computed form is 282.7 meV per atom. The symmetry is R-3m (166).

=====

# 5
A plane-wave DFT calculation with PBE-GGA was carried out for a geometry-optimized HgPPt3 structure.

a b c (Å): 4.986 4.986 4.986
angles (deg): 90.00 90.00 90.00
Fractional coordinates of all 5 atoms:
Pt: 0.500 0.000 0.000
Hg: 0.000 0.000 0.000
Pt: 0.000 0.500 0.000
Pt: 0.000 0.000 0.500
P: 0.500 0.500 0.500

Computed properties:
The density comes out at 10.94 Mg/m³. The calculated formation energy comes out at 1.756 eV/atom. The value obtained for the offset from the most stable computed form is 2026.9 meV per atom. The symmetry is Pm-3m (221).

=====

# 6
A plane-wave DFT calculation with PBE-GGA was carried out for a geometry-optimized Cd2AgOs structure.

a b c (Å): 5.158 5.158 5.158
angles (deg): 132.89 132.89 68.83
Last column: magnetic moment on the atom in μB.
Fractional coordinates of all 4 atoms:
Cd: 0.000 0.000 0.000  -0.01
Ag: 0.750 0.250 0.500  0.01
Cd: 0.250 0.750 0.500  0.00
Os: 0.500 0.500 0.000  0.68

Computed properties:
The density comes out at 12.01 Mg/m³. The calculated formation energy comes out at 0.591 eV/atom. The value obtained for the offset from the most stable computed form is 246.1 meV per atom. The symmetry is I-4m2 (119).

=====

# 7
A plane-wave DFT calculation with PBE-GGA was carried out for a geometry-optimized P3C structure.

a b c (Å): 5.652 5.652 5.652
angles (deg): 32.82 32.82 32.82
Fractional coordinates of all 4 atoms:
C: 0.000 0.000 0.000
P: 0.259 0.259 0.259
P: 0.500 0.500 0.500
P: 0.741 0.741 0.741

Computed properties:
The density comes out at 3.69 Mg/m³. The calculated formation energy comes out at 0.856 eV/atom. The value obtained for the offset from the most stable computed form is 447.4 meV per atom. The symmetry is R-3m (166).

=====

# 8
A plane-wave DFT calculation with PBE-GGA was carried out for a geometry-optimized TbTm2MgAu4 structure.

a b c (Å): 4.966 4.966 8.652
angles (deg): 73.32 73.32 60.00
Fractional coordinates of all 8 atoms:
Tm: 0.755 0.755 0.735
Au: 0.877 0.877 0.370
Au: 0.376 0.376 0.872
Au: 0.123 0.123 0.630
Tm: 0.245 0.245 0.265
Au: 0.624 0.624 0.128
Tb: 0.000 0.000 0.000
Mg: 0.500 0.500 0.500

Computed properties:
The density comes out at 12.47 Mg/m³. The calculated formation energy comes out at -0.819 eV/atom. The symmetry is R-3m (166).

=====

no.,V (Å³/atom),energy (eV/atom)
1,20.37,-6.88
2,16.64,-4.69
3,32.48,-4.36
4,15.11,-5.59
5,24.80,-3.01
6,18.08,-3.39
7,11.80,-5.51
8,21.79,-4.35